Record 1
# PBE ScCrRu2, optimized geometry
data_ScCrRu2
_cell_length_a 9.631
_cell_length_b 3.050
_cell_length_c 4.634
_cell_angle_alpha 90.00
_cell_angle_beta 118.59
_cell_angle_gamma 90.00
_symmetry_space_group_name_H-M 'C 1 2/m 1'
_symmetry_Int_Tables_number 12
loop_
_symmetry_equiv_pos_as_xyz
'x,y,z'
'-x,-y,-z'
'-x,y,-z'
'x,-y,z'
'x+1/2,y+1/2,z'
'-x+1/2,-y+1/2,-z'
'-x+1/2,y+1/2,-z'
'x+1/2,-y+1/2,z'
loop_
_atom_site_label
_atom_site_type_symbol
_atom_site_fract_x
_atom_site_fract_y
_atom_site_fract_z
Sc1 Sc 0.000 0.000 0.000
Cr1 Cr 0.000 0.500 0.500
Ru1 Ru 0.224 0.000 0.724
# - formation energy from the elements (kJ per mole of atoms) = -0.6
# - M_tot (μB per atom) = 0.09
# - DFT total energy (eV/atom) = -8.63



Record 2
# PBE Ce2GaPt6, optimized geometry
data_Ce2GaPt6
_cell_length_a 5.7028
_cell_length_b 5.7028
_cell_length_c 5.9968
_cell_angle_alpha 90.00
_cell_angle_beta 90.00
_cell_angle_gamma 120.00
_symmetry_space_group_name_H-M 'P -3 m 1'
_symmetry_Int_Tables_number 164
_symmetry_space_group_name_Hall '-P 3 2"'
loop_
_atom_site_label
_atom_site_type_symbol
_atom_site_fract_x
_atom_site_fract_y
_atom_site_fract_z
Ce1 Ce 0.3333 0.6667 0.3239
Ga1 Ga 0.0000 0.0000 0.5000
Pt1 Pt 0.1727 0.3455 0.8107
# - formation energy from the elements (kJ per mole of atoms) = -92.5
# - polymorph energy (0 for the lowest one) (meV/atom) = 0
# - M_tot (μB per atom) = 0.10
# - DFT total energy (eV/atom) = -6.64